## ReHgSe (PBE-GGA)

Data for ReHgSe after structural relaxation.

- Raw formation energy: 952 meV per atom
- DOS(E_F): 2.99 states/eV/cell
- Symmetry: No. 216
- Polymorph energy (0 for the lowest one): 0.6737 eV per atom

abc: 4.4503 4.4503 4.4503
angles: 60.00 60.00 60.00
Closest atoms and distances in Å follow each position.
Fractional positions:
Hg  0.5000  0.5000  0.5000  4 Re 2.73
Re  0.7500  0.7500  0.7500  4 Hg 2.73, 4 Se 2.73
Se  0.0000  0.0000  0.0000  4 Re 2.73